Below is an optimized crystal structure of Rb2TlSe2O6, with properties calculated at the PBE level.

The structure in POSCAR format:
```
Rb2TlSe2O6
1.0
3.169 1.830 8.023
-3.169 1.830 8.023
0.000 -3.660 8.023
Rb Tl Se O
2 1 2 6
Cartesian
0.000 0.000 5.425
0.000 0.000 18.646
0.000 0.000 12.035
0.000 0.000 1.776
0.000 0.000 22.294
-1.792 -1.035 13.616
0.000 -2.070 10.454
-1.792 1.035 10.454
1.792 -1.035 13.616
0.000 2.070 13.616
1.792 1.035 10.454
```

Computed properties:
- formation energy from raw total energies (eV/atom) = -1.091
- crystal system = trigonal
- DOS at the Fermi energy (states/eV/atom) = 0.22

---

Below is an optimized crystal structure of Sm3Y6Er2Pu, with properties calculated at the PBE level.

The structure in POSCAR format:
```
Sm3Y6Er2Pu
1.0
3.098 -5.361 0.000
3.098 5.361 0.000
-0.017 0.000 11.493
Sm Y Er Pu
3 6 2 1
Cartesian
0.000 0.000 0.000
3.098 1.788 0.000
3.098 -1.788 0.000
1.012 1.764 8.569
2.029 0.000 2.924
1.012 -1.764 8.569
5.166 1.764 2.924
4.149 0.000 8.569
5.166 -1.764 2.924
3.089 1.786 5.747
3.089 -1.786 5.747
-0.009 0.000 5.747
```

Computed properties:
- DFT formation energy (eV per atom) = 0.0307
- crystal system = monoclinic
- DOS at the Fermi energy (states/eV/atom) = 1.91

---

Below is an optimized crystal structure of TiTePO2, with properties calculated at the PBE level.

The structure in POSCAR format:
```
TiTePO2
1.0
3.799 0.000 0.000
0.000 3.799 0.000
0.000 0.000 5.746
Ti Te P O
1 1 1 2
Cartesian
0.000 0.000 0.000
1.899 1.899 2.873
0.000 0.000 2.873
0.000 1.899 0.000
1.899 0.000 0.000
```

Computed properties:
- formation energy from raw total energies (eV/atom) = -1.183
- distance to the lowest polymorph of the same formula (meV per atom) = 0
- crystal system = tetragonal
- DOS at the Fermi energy (states/eV/atom) = 0.75

---

Which formula does entry 1 have? Rb2TlSe2O6

---

Which formula does entry 2 have? Sm3Y6Er2Pu

---

Please write out number 2 again, unchanged.
Below is an optimized crystal structure of Sm3Y6Er2Pu, with properties calculated at the PBE level.

The structure in POSCAR format:
```
Sm3Y6Er2Pu
1.0
3.098 -5.361 0.000
3.098 5.361 0.000
-0.017 0.000 11.493
Sm Y Er Pu
3 6 2 1
Cartesian
0.000 0.000 0.000
3.098 1.788 0.000
3.098 -1.788 0.000
1.012 1.764 8.569
2.029 0.000 2.924
1.012 -1.764 8.569
5.166 1.764 2.924
4.149 0.000 8.569
5.166 -1.764 2.924
3.089 1.786 5.747
3.089 -1.786 5.747
-0.009 0.000 5.747
```

Computed properties:
- DFT formation energy (eV per atom) = 0.0307
- crystal system = monoclinic
- DOS at the Fermi energy (states/eV/atom) = 1.91

---

Among the records above, which one has the highest DOS at the Fermi energy? Sm3Y6Er2Pu